Record 1
# PBE-GGA Hf3Sb7Pd, optimized geometry
data_Hf3Sb7Pd
_chemical_formula_sum 'Hf12 Sb28 Pd4'
_space_group_name_H-M_alt 'P n m a'
_space_group_IT_number 62
_cell_length_a 17.605
_cell_length_b 3.978
_cell_length_c 14.676
_cell_angle_alpha 90.00
_cell_angle_beta 90.00
_cell_angle_gamma 90.00
loop_
_space_group_symop_operation_xyz
'x,y,z'
'-x,-y,-z'
'-x+1/2,-y,z+1/2'
'x+1/2,y,-z+1/2'
'x+1/2,-y+1/2,-z+1/2'
'-x+1/2,y+1/2,z+1/2'
'-x,y+1/2,-z'
'x,-y+1/2,z'
loop_
_atom_site_label
_atom_site_type_symbol
_atom_site_fract_x
_atom_site_fract_y
_atom_site_fract_z
Hf1 Hf 0.107 0.250 0.088
Hf2 Hf 0.131 0.250 0.532
Hf3 Hf 0.152 0.250 0.811
Sb1 Sb 0.020 0.750 0.195
Sb2 Sb 0.037 0.750 0.429
Sb3 Sb 0.072 0.750 0.941
Sb4 Sb 0.095 0.750 0.676
Sb5 Sb 0.218 0.250 0.320
Sb6 Sb 0.228 0.750 0.148
Sb7 Sb 0.249 0.750 0.480
Pd1 Pd 0.066 0.250 0.310
# Mass density (Mg/m³): 9.66
# Final energy (eV/atom): -6.24

---

Record 2
# PBE-GGA MgZnCdFe, optimized geometry
data_MgZnCdFe
_chemical_formula_sum 'Mg4 Zn4 Cd4 Fe4'
_space_group_name_H-M_alt 'F -4 3 m'
_space_group_IT_number 216
_space_group_name_Hall 'F -4 2 3'
_cell_length_a 6.412
_cell_length_b 6.412
_cell_length_c 6.412
_cell_angle_alpha 90.00
_cell_angle_beta 90.00
_cell_angle_gamma 90.00
loop_
_atom_site_label
_atom_site_type_symbol
_atom_site_fract_x
_atom_site_fract_y
_atom_site_fract_z
Mg1 Mg 0.000 0.000 0.000
Zn1 Zn 0.250 0.250 0.250
Cd1 Cd 0.250 0.250 0.750
Fe1 Fe 0.000 0.000 0.500
# Mass density (Mg/m³): 6.50
# Final energy (eV/atom): -2.82

---

Record 3
# PBE-GGA NaTmSO, optimized geometry
data_NaTmSO
_chemical_formula_sum 'Na4 Tm4 S4 O4'
_space_group_name_H-M_alt 'P 1 21 1'
_space_group_IT_number 4
_cell_length_a 5.481
_cell_length_b 5.487
_cell_length_c 10.297
_cell_angle_alpha 90.00
_cell_angle_beta 104.56
_cell_angle_gamma 90.00
loop_
_space_group_symop_operation_xyz
'x,y,z'
'-x,y+1/2,-z'
loop_
_atom_site_label
_atom_site_type_symbol
_atom_site_fract_x
_atom_site_fract_y
_atom_site_fract_z
Na1 Na 0.049 0.000 0.097
Na2 Na 0.447 0.993 0.904
Tm1 Tm 0.051 0.244 0.606
Tm2 Tm 0.449 0.244 0.393
S1 S 0.097 0.494 0.187
S2 S 0.405 0.494 0.813
O1 O 0.250 0.495 0.500
O2 O 0.250 0.995 0.500
# Mass density (Mg/m³): 5.32
# Final energy (eV/atom): -6.06